First-principles (PBE) data for BaIn2Hg2 after structural relaxation, as listed in OQMD.

Values from the calculation:
Crystal system: tetragonal
DFT total energy in eV/atom: -1.98
SG: I4/mmm

Cell: 7.2578 7.2578 7.2578 Å, 141.15 141.15 56.10°
Sites, in units of the cell vectors:
1 Ba 0.0000 0.0000 0.0000
2 In 0.7500 0.2500 0.5000
3 In 0.2500 0.7500 0.5000
4 Hg 0.6124 0.6124 0.0000
5 Hg 0.3876 0.3876 0.0000


First-principles (PBE) data for NaPrCdS3 after structural relaxation, as listed in OQMD.

Values from the calculation:
Crystal system: orthorhombic
Relative energy among the computed polymorphs in eV per atom: 0.0021
SG: Pnma

Cell: 11.9910 4.1699 11.7934 Å, 90.00 90.00 90.00°
Sites, in units of the cell vectors:
1 S 0.2216 0.2500 0.3384
2 S 0.5580 0.2500 0.8466
3 S 0.5881 0.7500 0.4310
4 S 0.4420 0.7500 0.1534
5 S 0.4119 0.2500 0.5690
6 S 0.2784 0.7500 0.8384
7 S 0.0580 0.2500 0.6534
8 S 0.7216 0.2500 0.1616
9 S 0.9119 0.2500 0.9310
10 S 0.9420 0.7500 0.3466
11 S 0.0881 0.7500 0.0690
12 S 0.7784 0.7500 0.6616
13 Pr 0.5366 0.7500 0.6730
14 Pr 0.0366 0.7500 0.8270
15 Pr 0.4634 0.2500 0.3270
16 Pr 0.9634 0.2500 0.1730
17 Cd 0.2607 0.2500 0.7119
18 Cd 0.7607 0.2500 0.7881
19 Cd 0.7393 0.7500 0.2881
20 Cd 0.2393 0.7500 0.2119
21 Na 0.3689 0.2500 0.9902
22 Na 0.6311 0.7500 0.0098
23 Na 0.1311 0.7500 0.4902
24 Na 0.8689 0.2500 0.5098


First-principles (PBE) data for FeReBi after structural relaxation, as listed in OQMD.

Values from the calculation:
Crystal system: cubic
Relative energy among the computed polymorphs in eV per atom: 0.0000
SG: F-43m

Cell: 4.2303 4.2303 4.2303 Å, 60.00 60.00 60.00°
Sites, in units of the cell vectors:
1 Fe 0.0000 0.0000 0.0000
2 Re 0.7500 0.7500 0.7500
3 Bi 0.2500 0.2500 0.2500


First-principles (PBE) data for HoSiPO after structural relaxation, as listed in OQMD.

Values from the calculation:
Crystal system: tetragonal
Relative energy among the computed polymorphs in eV per atom: 0.0629
SG: P4/nmm

Cell: 4.0770 4.0770 7.8671 Å, 90.00 90.00 90.00°
Sites, in units of the cell vectors:
1 Si 0.2500 0.7500 0.5000
2 Si 0.7500 0.2500 0.5000
3 P 0.7500 0.7500 0.3450
4 P 0.2500 0.2500 0.6550
5 Ho 0.2500 0.2500 0.1240
6 Ho 0.7500 0.7500 0.8760
7 O 0.2500 0.7500 0.0000
8 O 0.7500 0.2500 0.0000


First-principles (PBE) data for NbCuSbOs after structural relaxation, as listed in OQMD.

Values from the calculation:
Crystal system: cubic
Relative energy among the computed polymorphs in eV per atom: 0.0000
SG: F-43m

Cell: 4.5387 4.5387 4.5387 Å, 60.00 60.00 60.00°
Sites, in units of the cell vectors:
1 Nb 0.5000 0.5000 0.5000
2 Os 0.2500 0.2500 0.2500
3 Cu 0.7500 0.7500 0.7500
4 Sb 0.0000 0.0000 0.0000


First-principles (PBE) data for SmTmGa after structural relaxation, as listed in OQMD.

Values from the calculation:
Crystal system: cubic
Relative energy among the computed polymorphs in eV per atom: 0.0000
SG: F-43m

Cell: 4.9736 4.9736 4.9736 Å, 60.00 60.00 60.00°
Sites, in units of the cell vectors:
1 Ga 0.0000 0.0000 0.0000
2 Sm 0.2500 0.2500 0.2500
3 Tm 0.7500 0.7500 0.7500